Entry 1:
KAg2SeCl (PBE-GGA, relaxed); SG = P4/mmm; E = -3.025 eV per atom
1.0
4.922 0.000 0.000
0.000 4.922 0.000
0.000 0.000 6.745
K Se Ag Cl
1 1 2 1
Direct
0.000 0.000 0.500
0.000 0.000 0.000
0.000 0.500 0.000
0.500 0.000 0.000
0.500 0.500 0.500


Entry 2:
KAgSeCl6 (PBE-GGA, relaxed); SG = P1; E = -2.773 eV per atom
1.0
-2.426 5.174 3.814
-2.177 -1.161 6.535
6.242 1.204 2.148
K Ag Se Cl
1 1 1 6
Direct
0.007 0.995 0.000
0.666 0.666 0.500
0.335 0.332 0.500
0.032 0.356 0.284
0.349 0.038 0.702
0.613 0.349 0.716
0.031 0.612 0.712
0.352 0.612 0.298
0.614 0.040 0.290


Entry 3:
KAg2SeCl6 (PBE-GGA, relaxed); SG = P1; E = -2.783 eV per atom
1.0
-5.781 2.992 -3.021
-3.030 -1.381 -7.319
-5.786 -4.032 0.970
K Ag Se Cl
1 2 1 6
Direct
0.794 0.843 0.562
0.515 0.526 0.444
0.016 0.031 0.952
0.311 0.345 0.038
0.627 0.246 0.235
0.250 0.819 0.218
0.995 0.447 0.326
0.358 0.798 0.674
0.701 0.221 0.729
0.095 0.385 0.837


Entry 4:
K2AgSeCl6 (PBE-GGA, relaxed); SG = I4/mmm; E = -2.919 eV per atom
1.0
7.315 -0.001 0.000
-0.001 7.317 0.000
3.657 3.658 5.454
K Ag Se Cl
2 1 1 6
Direct
0.750 0.250 0.500
0.250 0.750 0.500
0.000 0.000 0.000
0.500 0.500 0.000
0.227 0.227 0.547
0.735 0.735 0.000
0.265 0.735 0.000
0.735 0.265 0.000
0.265 0.265 0.000
0.773 0.773 0.453


Entry 5:
KSmAgCl5 (PBE-GGA, relaxed); SG = C2/c; E = -3.986 eV per atom
1.0
7.677 -0.193 -0.033
-2.426 7.286 -0.033
-2.203 -2.975 9.502
K Sm Ag Cl
2 2 2 10
Direct
0.351 0.649 0.250
0.649 0.351 0.750
0.000 0.000 0.500
0.000 0.000 0.000
0.686 0.314 0.250
0.314 0.686 0.750
0.083 0.917 0.250
0.917 0.083 0.750
0.926 0.312 0.107
0.074 0.688 0.893
0.688 0.074 0.393
0.312 0.926 0.607
0.743 0.630 0.442
0.257 0.370 0.558
0.370 0.257 0.058
0.630 0.743 0.942


Entry 6:
KSmAg2Cl6 (PBE-GGA, relaxed); SG = R3; E = -3.737 eV per atom
1.0
7.151 0.000 0.001
3.576 6.192 0.000
3.576 2.064 6.502
K Sm Ag Cl
1 1 2 6
Direct
0.808 0.808 0.575
0.323 0.323 0.031
0.519 0.519 0.442
0.007 0.008 0.977
0.588 0.251 0.238
0.251 0.923 0.238
0.923 0.588 0.238
0.362 0.726 0.758
0.726 0.154 0.758
0.154 0.362 0.758


Entry 7:
K2Ag2SnCl6 (PBE-GGA, relaxed); SG = C2/m; E = -3.223 eV per atom
1.0
-1.790 -6.944 -2.878
7.248 1.460 2.341
-4.938 -1.051 5.608
K Ag Sn Cl
2 2 1 6
Direct
0.734 0.469 0.171
0.266 0.531 0.829
0.937 0.874 0.778
0.063 0.126 0.222
0.500 0.000 0.500
0.728 0.457 0.579
0.179 0.858 0.182
0.321 0.142 0.818
0.821 0.142 0.818
0.679 0.858 0.182
0.272 0.543 0.421


Entry 8:
K2Ag2SnCl7 (PBE-GGA, relaxed); SG = C2/m; E = -3.034 eV per atom
1.0
-4.822 -0.807 -1.627
1.193 -4.888 -1.115
-5.185 -6.341 10.375
K Ag Sn Cl
2 2 1 7
Direct
0.817 0.817 0.357
0.183 0.183 0.643
0.601 0.601 0.799
0.399 0.399 0.201
0.000 0.000 0.000
0.500 0.500 0.000
0.303 0.303 0.400
0.697 0.697 0.600
0.919 0.417 0.162
0.417 0.919 0.162
0.583 0.081 0.838
0.081 0.583 0.838


Entry 9:
K3Ag2SnCl9 (PBE-GGA, relaxed); SG = P-3m1; E = -3.176 eV per atom
1.0
7.453 0.000 0.000
-3.727 6.455 0.000
0.000 0.000 9.148
K Ag Sn Cl
3 2 1 9
Direct
0.333 0.667 0.739
0.000 0.000 0.000
0.667 0.333 0.261
0.333 0.667 0.164
0.667 0.333 0.836
0.000 0.000 0.500
0.842 0.158 0.660
0.842 0.685 0.660
0.315 0.158 0.660
0.685 0.842 0.340
0.158 0.315 0.340
0.158 0.842 0.340
0.500 0.000 0.000
0.000 0.500 0.000
0.500 0.500 0.000


Entry 10:
KAg2SnCl8 (PBE-GGA, relaxed); SG = P-1; E = -2.989 eV per atom
1.0
-1.275 -0.006 6.726
-0.651 -6.531 -1.430
7.505 -3.801 2.127
K Ag Sn Cl
1 2 1 8
Direct
0.000 0.000 0.500
0.403 0.439 0.699
0.597 0.561 0.301
0.000 0.000 0.000
0.031 0.728 0.258
0.646 0.795 0.016
0.879 0.211 0.156
0.969 0.272 0.742
0.354 0.205 0.984
0.121 0.789 0.844
0.503 0.779 0.487
0.497 0.221 0.513


Entry 11:
K2AgSnCl5 (PBE-GGA, relaxed); SG = Cmc2_1; E = -3.302 eV per atom
1.0
-0.792 2.900 -3.396
-8.399 -4.254 1.355
-3.343 9.409 8.815
K Ag Sn Cl
4 2 2 10
Direct
0.848 0.696 0.812
0.106 0.212 0.676
0.152 0.304 0.312
0.894 0.788 0.176
0.763 0.526 0.566
0.237 0.474 0.066
0.545 0.090 0.945
0.455 0.910 0.445
0.365 0.730 0.995
0.665 0.329 0.852
0.487 0.973 0.759
0.274 0.547 0.672
0.907 0.815 0.548
0.635 0.270 0.495
0.335 0.671 0.352
0.513 0.027 0.259
0.726 0.453 0.172
0.093 0.185 0.048


Entry 12:
KAg2SnCl6 (PBE-GGA, relaxed); SG = C2/c; E = -3.114 eV per atom
1.0
-7.522 -0.345 0.394
-1.099 -2.449 -8.587
-0.229 -8.603 2.625
K Ag Sn Cl
2 4 2 12
Direct
0.250 0.912 0.088
0.750 0.088 0.912
0.185 0.760 0.573
0.315 0.427 0.240
0.815 0.240 0.427
0.685 0.573 0.760
0.250 0.270 0.730
0.750 0.730 0.270
0.140 0.994 0.761
0.360 0.239 0.006
0.860 0.006 0.239
0.640 0.761 0.994
0.429 0.838 0.381
0.071 0.619 0.162
0.571 0.162 0.619
0.929 0.381 0.838
0.859 0.716 0.547
0.641 0.453 0.284
0.141 0.284 0.453
0.359 0.547 0.716


Entry 13:
K2SrAg2Cl6 (PBE-GGA, relaxed); SG = C2/m; E = -3.403 eV per atom
1.0
7.778 0.000 0.000
-3.889 6.722 0.113
0.000 -3.743 6.669
K Sr Ag Cl
2 1 2 6
Direct
0.735 0.469 0.169
0.265 0.531 0.831
0.500 0.000 0.500
0.940 0.880 0.779
0.060 0.120 0.221
0.732 0.463 0.573
0.177 0.853 0.179
0.324 0.147 0.821
0.823 0.147 0.821
0.676 0.853 0.179
0.268 0.537 0.427


Entry 14:
K2SrAgCl5 (PBE-GGA, relaxed); SG = Cmc2_1; E = -3.567 eV per atom
1.0
-3.251 2.783 0.725
-0.514 -5.905 7.362
8.368 7.959 6.968
K Sr Ag Cl
4 2 2 10
Direct
0.875 0.750 0.807
0.106 0.211 0.684
0.125 0.250 0.307
0.894 0.789 0.184
0.792 0.584 0.511
0.208 0.416 0.011
0.518 0.036 0.962
0.482 0.964 0.462
0.365 0.729 0.003
0.700 0.400 0.869
0.499 0.998 0.777
0.284 0.569 0.657
0.947 0.894 0.554
0.635 0.271 0.503
0.300 0.600 0.369
0.501 0.002 0.277
0.716 0.431 0.157
0.053 0.106 0.054


Entry 15:
K2SrAg2Cl7 (PBE-GGA, relaxed); SG = C2/m; E = -3.241 eV per atom
1.0
-5.145 0.406 -0.351
-0.612 -3.143 4.064
-2.613 8.753 9.719
K Sr Ag Cl
2 1 2 7
Direct
0.784 0.784 0.360
0.216 0.216 0.640
0.000 0.000 0.000
0.600 0.600 0.799
0.400 0.400 0.201
0.500 0.500 0.000
0.316 0.316 0.400
0.684 0.684 0.600
0.919 0.419 0.165
0.419 0.919 0.165
0.581 0.081 0.835
0.081 0.581 0.835


Entry 16:
KTaAgCl6 (PBE-GGA, relaxed); SG = P-31c; E = -4.219 eV per atom
1.0
-2.383 3.397 -5.607
3.378 -6.054 -0.765
-11.357 -6.452 0.918
K Ta Ag Cl
2 2 2 12
Direct
0.000 0.000 0.000
0.000 0.000 0.500
0.667 0.333 0.250
0.333 0.667 0.750
0.333 0.667 0.250
0.667 0.333 0.750
0.650 0.609 0.144
0.959 0.350 0.144
0.350 0.959 0.644
0.041 0.650 0.856
0.391 0.350 0.356
0.959 0.609 0.356
0.609 0.959 0.856
0.650 0.041 0.356
0.041 0.391 0.644
0.391 0.041 0.144
0.609 0.650 0.644
0.350 0.391 0.856


Entry 17:
K2TaAgCl6 (PBE-GGA, relaxed); SG = Fm-3m; E = -4.036 eV per atom
1.0
0.000 5.191 5.191
5.191 0.000 5.191
5.191 5.191 0.000
K Ta Ag Cl
2 1 1 6
Direct
0.250 0.250 0.250
0.750 0.750 0.750
0.500 0.500 0.500
0.000 0.000 0.000
0.739 0.261 0.261
0.739 0.261 0.739
0.261 0.739 0.739
0.261 0.261 0.739
0.739 0.739 0.261
0.261 0.739 0.261


Entry 18:
KTbAg2Cl6 (PBE-GGA, relaxed); SG = P1; E = -3.734 eV per atom
1.0
-1.377 5.868 3.780
-6.630 1.357 2.186
-1.529 -0.846 7.473
K Tb Ag Cl
1 1 2 6
Direct
0.809 0.809 0.572
0.324 0.324 0.027
0.520 0.520 0.439
0.006 0.008 0.980
0.580 0.252 0.237
0.252 0.930 0.237
0.930 0.580 0.238
0.363 0.723 0.762
0.723 0.152 0.761
0.152 0.364 0.762


Entry 19:
K2TbAgCl6 (PBE-GGA, relaxed); SG = P2_1/c; energy above the most stable polymorph in this dataset = 0 meV/atom
1.0
-1.569 -6.524 -2.937
-2.407 -2.513 6.869
-9.562 3.140 -2.202
K Tb Ag Cl
4 2 2 12
Direct
0.022 0.928 0.251
0.522 0.572 0.751
0.978 0.072 0.749
0.478 0.428 0.249
0.500 0.000 0.500
0.000 0.500 0.000
0.500 0.000 0.000
0.000 0.500 0.500
0.295 0.690 0.050
0.795 0.810 0.550
0.705 0.310 0.950
0.205 0.190 0.450
0.314 0.711 0.449
0.814 0.789 0.949
0.686 0.289 0.551
0.186 0.211 0.051
0.900 0.528 0.249
0.400 0.972 0.749
0.100 0.472 0.751
0.600 0.028 0.251


Entry 20:
KTbAg2Cl8 (PBE-GGA, relaxed); SG = I-4; E = -3.353 eV per atom
1.0
6.756 0.000 0.000
0.000 6.756 0.000
-3.378 -3.378 7.181
K Tb Ag Cl
1 1 2 8
Direct
0.750 0.250 0.500
0.000 0.000 0.000
0.500 0.500 0.000
0.250 0.750 0.500
0.738 0.854 0.123
0.385 0.269 0.123
0.634 0.701 0.680
0.046 0.979 0.680
0.021 0.366 0.320
0.299 0.954 0.320
0.146 0.615 0.877
0.731 0.262 0.877


| no. | size of the total moment (μB/f.u.) |
| --- | --- |
| 1 | 0.00 |
| 2 | 0.00 |
| 3 | 0.19 |
| 4 | 0.79 |
| 5 | 0.00 |
| 6 | 0.00 |
| 7 | 0.00 |
| 8 | 0.00 |
| 9 | 0.00 |
| 10 | 0.00 |
| 11 | 0.00 |
| 12 | 0.00 |
| 13 | 0.00 |
| 14 | 0.00 |
| 15 | 0.00 |
| 16 | 1.00 |
| 17 | 2.00 |
| 18 | 0.00 |
| 19 | 0.00 |
| 20 | 0.00 |